# 1
Entry from the Alexandria database: a relaxed structure of NdZnCuAu (PBE-GGA).

Properties
Calculated formation energy: -417.5 meV/atom
Energy above the lowest structure with this stoichiometry: 0.0000 eV/atom

Cell and atoms, written as CIF:
```
data_NdZnCuAu
_space_group_name_H-M_alt 'C 1 m 1'
_space_group_IT_number 8
_cell_length_a 7.722
_cell_length_b 4.454
_cell_length_c 5.422
_cell_angle_alpha 90.00
_cell_angle_beta 118.44
_cell_angle_gamma 90.00
loop_
_space_group_symop_operation_xyz
'x,y,z'
'x,-y,z'
'x+1/2,y+1/2,z'
'x+1/2,-y+1/2,z'
loop_
_atom_site_label
_atom_site_fract_x
_atom_site_fract_y
_atom_site_fract_z
Nd1 0.000 0.000 0.000
Zn1 0.478 0.000 0.433
Cu1 0.293 0.500 0.377
Au1 0.212 0.000 0.636
```

# 2
Entry from the Alexandria database: a relaxed structure of SrAs2Rh2 (PBE-GGA).

Properties
Calculated formation energy: -734.4 meV/atom

Cell and atoms, written as CIF:
```
data_SrAs2Rh2
_space_group_name_H-M_alt 'C 1 2/c 1'
_space_group_IT_number 15
_cell_length_a 6.014
_cell_length_b 10.311
_cell_length_c 7.300
_cell_angle_alpha 90.00
_cell_angle_beta 114.21
_cell_angle_gamma 90.00
loop_
_space_group_symop_operation_xyz
'x,y,z'
'-x,-y,-z'
'-x,y,-z+1/2'
'x,-y,z+1/2'
'x+1/2,y+1/2,z'
'-x+1/2,-y+1/2,-z'
'-x+1/2,y+1/2,-z+1/2'
'x+1/2,-y+1/2,z+1/2'
loop_
_atom_site_label
_atom_site_fract_x
_atom_site_fract_y
_atom_site_fract_z
Sr1 0.000 0.125 0.250
As1 0.000 0.183 0.750
As2 0.000 0.433 0.250
Rh1 0.106 0.375 0.963
```

# 3
Entry from the Alexandria database: a relaxed structure of Pr3MgIn2 (PBE-GGA).

Properties
Calculated formation energy: -384.1 meV/atom
Energy above the lowest structure with this stoichiometry: 0.0000 eV/atom

Cell and atoms, written as CIF:
```
data_Pr3MgIn2
_space_group_name_H-M_alt 'P -3 m 1'
_space_group_IT_number 164
_space_group_name_Hall '-P 3 2"'
_cell_length_a 5.5273
_cell_length_b 5.5273
_cell_length_c 13.5266
_cell_angle_alpha 90.00
_cell_angle_beta 90.00
_cell_angle_gamma 120.00
loop_
_atom_site_label
_atom_site_fract_x
_atom_site_fract_y
_atom_site_fract_z
Pr1 0.0000 0.0000 0.2483
Pr2 0.3333 0.6667 0.4182
Pr3 0.3333 0.6667 0.9190
Mg1 0.3333 0.6667 0.6682
In1 0.0000 0.0000 0.0000
In2 0.0000 0.0000 0.5000
In3 0.3333 0.6667 0.1739
```

# 4
Entry from the Alexandria database: a relaxed structure of LiIrOs (PBE-GGA).

Properties
Calculated formation energy: 39.4 meV/atom
Energy above the lowest structure with this stoichiometry: 0.0653 eV/atom

Cell and atoms, written as CIF:
```
data_LiIrOs
_space_group_name_H-M_alt 'C 1 2 1'
_space_group_IT_number 5
_cell_length_a 8.064
_cell_length_b 4.556
_cell_length_c 5.148
_cell_angle_alpha 90.00
_cell_angle_beta 121.78
_cell_angle_gamma 90.00
loop_
_space_group_symop_operation_xyz
'x,y,z'
'-x,y,-z'
'x+1/2,y+1/2,z'
'-x+1/2,y+1/2,-z'
loop_
_atom_site_label
_atom_site_fract_x
_atom_site_fract_y
_atom_site_fract_z
Li1 0.000 0.000 0.000
Li2 0.000 0.166 0.500
Ir1 0.166 0.664 0.499
Os1 0.169 0.501 0.002
```

> What is the calculated formation energy in the fourth record?

39.4 meV/atom

> The highest calculated formation energy belongs to which entry?

LiIrOs

> Among the records above, which one has the highest calculated formation energy?

LiIrOs